Tl8Te, relaxed, DFT GGA-PBE; raw total energy = -22.63 eV per formula unit; volume = 31.70 A^3/atom; energy relative to the elements, uncorrected = -0.56 eV per formula unit
1.0
-3.170 -2.466 -1.322
3.478 -4.876 -6.007
0.395 -6.823 5.023
Tl Te
8 1
direct
0.662 0.000 0.676 Tl
0.338 0.000 0.324 Tl
0.335 0.665 0.665 Tl
0.662 0.676 0.000 Tl
0.000 0.665 0.335 Tl
0.338 0.324 0.000 Tl
0.665 0.335 0.335 Tl
0.000 0.335 0.665 Tl
0.000 0.000 0.000 Te


ErCd2Hg8, relaxed, DFT GGA-PBE; raw total energy = -9.89 eV per formula unit; volume = 24.73 A^3/atom; energy relative to the elements = -98.7 meV per atom
1.0
4.911 0.000 -1.397
-0.685 7.862 -2.408
-0.428 -1.989 7.826
Cd Hg Er
2 8 1
direct
0.221 0.723 0.443 Cd
0.779 0.277 0.557 Cd
0.641 0.449 0.282 Hg
0.361 0.171 0.723 Hg
0.146 0.144 0.291 Hg
0.999 0.684 0.997 Hg
0.854 0.856 0.709 Hg
0.639 0.829 0.277 Hg
0.359 0.551 0.718 Hg
0.001 0.316 0.003 Hg
0.500 0.000 0.000 Er


CaAc2Zn12Ni3, relaxed, DFT GGA-PBE; raw total energy = -41.38 eV per formula unit; volume = 23.50 A^3/atom; energy relative to the elements = 81.7 meV per atom
1.0
-4.075 -4.495 6.130
-6.101 -5.842 -1.743
1.153 -8.469 1.152
Ca Ac Zn Ni
1 2 12 3
direct
0.000 0.000 0.000 Ca
0.600 0.600 0.600 Ac
0.400 0.400 0.400 Ac
0.320 0.320 0.856 Zn
0.841 0.841 0.505 Zn
0.505 0.841 0.841 Zn
0.856 0.320 0.320 Zn
0.841 0.505 0.841 Zn
0.320 0.856 0.320 Zn
0.680 0.680 0.144 Zn
0.159 0.159 0.495 Zn
0.495 0.159 0.159 Zn
0.144 0.680 0.680 Zn
0.159 0.495 0.159 Zn
0.680 0.144 0.680 Zn
0.500 0.000 0.000 Ni
0.000 0.500 0.000 Ni
0.000 0.000 0.500 Ni


GaAg3F7, relaxed, DFT GGA-PBE; raw total energy = -41.88 eV per formula unit; volume = 16.69 A^3/atom; energy relative to the elements, uncorrected = -17.20 eV per formula unit
1.0
5.605 0.621 -0.732
-0.907 5.566 -0.732
0.471 0.621 5.633
Ga Ag F
1 3 7
direct
0.919 0.919 0.919 Ga
0.954 0.414 0.414 Ag
0.414 0.414 0.954 Ag
0.414 0.954 0.414 Ag
0.087 0.730 0.730 F
0.240 0.240 0.634 F
0.634 0.240 0.240 F
0.730 0.730 0.087 F
0.730 0.087 0.730 F
0.108 0.108 0.108 F
0.240 0.634 0.240 F


Tb2PmCd2, relaxed, DFT GGA-PBE; raw total energy = -17.13 eV per formula unit; volume = 28.27 A^3/atom; energy relative to the elements = -257.1 meV per atom
1.0
5.433 0.000 0.000
0.000 3.733 0.427
0.000 0.297 13.972
Tb Pm Cd
4 2 4
direct
0.250 0.047 0.908 Tb
0.750 0.953 0.092 Tb
0.250 0.236 0.527 Tb
0.750 0.764 0.473 Tb
0.250 0.850 0.296 Pm
0.750 0.150 0.704 Pm
0.250 0.642 0.717 Cd
0.750 0.358 0.283 Cd
0.250 0.450 0.098 Cd
0.750 0.550 0.902 Cd


CsTb3Se4, relaxed, DFT GGA-PBE; raw total energy = -42.66 eV per formula unit; volume = 28.44 A^3/atom; energy relative to the elements, uncorrected = -13.98 eV per formula unit
1.0
4.187 0.000 0.000
-2.093 3.626 0.000
0.000 0.000 29.979
Cs Tb Se
2 6 8
direct
0.667 0.333 0.750 Cs
0.333 0.667 0.250 Cs
0.000 0.000 0.000 Tb
0.000 0.000 0.500 Tb
0.333 0.667 0.890 Tb
0.667 0.333 0.110 Tb
0.667 0.333 0.390 Tb
0.333 0.667 0.610 Tb
0.667 0.333 0.945 Se
0.333 0.667 0.055 Se
0.333 0.667 0.445 Se
0.667 0.333 0.555 Se
0.000 0.000 0.838 Se
0.000 0.000 0.162 Se
0.000 0.000 0.338 Se
0.000 0.000 0.662 Se


MgFeBr2, relaxed, DFT GGA-PBE; raw total energy = -12.87 eV per formula unit; volume = 20.68 A^3/atom; energy relative to the elements, uncorrected = 0.53 eV per formula unit
1.0
3.446 0.000 0.000
0.000 4.900 0.000
0.000 0.000 4.900
Br Fe Mg
2 1 1
direct
0.000 0.000 0.000 Br
0.000 0.500 0.500 Br
0.500 0.500 0.000 Fe
0.500 0.000 0.500 Mg


NaLi2Ga, relaxed, DFT GGA-PBE; raw total energy = -8.29 eV per formula unit; volume = 21.58 A^3/atom; energy relative to the elements = -28.2 meV per atom
1.0
3.162 0.000 0.000
1.581 2.738 0.000
1.581 0.913 9.971
Na Ga Li
1 1 2
direct
0.500 0.500 0.500 Na
0.000 0.000 0.000 Ga
0.737 0.737 0.789 Li
0.263 0.263 0.211 Li


AcCuAu, relaxed, DFT GGA-PBE; raw total energy = -12.93 eV per formula unit; volume = 24.38 A^3/atom; energy relative to the elements = -482.1 meV per atom
1.0
6.089 0.000 -0.446
0.000 6.099 0.000
-2.210 0.000 8.038
Cu Au Ac
4 4 4
direct
0.612 0.398 0.215 Cu
0.388 0.602 0.785 Cu
0.112 0.102 0.715 Cu
0.888 0.898 0.285 Cu
0.193 0.355 0.979 Au
0.807 0.645 0.021 Au
0.307 0.855 0.521 Au
0.693 0.145 0.479 Au
0.338 0.850 0.128 Ac
0.838 0.650 0.628 Ac
0.662 0.150 0.872 Ac
0.162 0.350 0.372 Ac


Pr2Y5HoSc, relaxed, DFT GGA-PBE; raw total energy = -51.47 eV per formula unit; volume = 32.67 A^3/atom; energy relative to the elements = 146.7 meV per atom
1.0
5.574 0.000 0.000
-2.787 10.165 0.000
0.000 0.000 10.378
Pr Y Ho Sc
4 10 2 2
direct
0.888 0.776 0.814 Pr
0.117 0.233 0.735 Pr
0.112 0.224 0.314 Pr
0.883 0.767 0.235 Pr
0.368 0.735 0.020 Y
0.730 0.459 0.831 Y
0.483 0.966 0.740 Y
0.298 0.596 0.699 Y
0.985 0.970 0.514 Y
0.632 0.265 0.520 Y
0.270 0.541 0.331 Y
0.517 0.034 0.240 Y
0.702 0.404 0.199 Y
0.015 0.030 0.014 Y
0.594 0.188 0.955 Ho
0.406 0.812 0.455 Ho
0.808 0.617 0.517 Sc
0.192 0.383 0.017 Sc


NaVBi, relaxed, DFT GGA-PBE; raw total energy = -14.02 eV per formula unit; volume = 23.65 A^3/atom; energy relative to the elements = 98.6 meV per atom
1.0
-3.465 -1.897 -1.257
2.230 -2.378 -2.560
0.897 -5.611 5.994
Na Bi V
2 2 2
direct
0.000 0.500 0.857 Na
0.500 0.000 0.143 Na
0.000 0.500 0.271 Bi
0.500 0.000 0.729 Bi
0.000 0.000 0.500 V
0.500 0.500 0.500 V


Ca4BiAs2, relaxed, DFT GGA-PBE; raw total energy = -28.24 eV per formula unit; volume = 28.01 A^3/atom; energy relative to the elements = -1007.3 meV per atom
1.0
7.608 0.375 -2.400
-3.992 6.488 -2.401
-0.200 -0.378 7.975
As Ca Bi
4 8 2
direct
0.625 0.503 0.378 As
0.125 0.247 0.622 As
0.753 0.375 0.878 As
0.497 0.875 0.122 As
0.737 0.991 0.599 Ca
0.513 0.612 0.754 Ca
0.392 0.138 0.401 Ca
0.862 0.263 0.254 Ca
0.009 0.608 0.746 Ca
0.858 0.759 0.246 Ca
0.241 0.487 0.099 Ca
0.388 0.143 0.901 Ca
0.250 0.750 0.500 Bi
0.000 0.000 0.000 Bi